# Pa3P

A relaxed structure of Pa3P (PBE, the Alexandria database). Values from VASP.

Results
Excess energy over the best structure of this formula in the dataset, eV/atom: 0.219
Formation energy, eV per atom: -0.28

```
&SYSTEM
  ibrav = 0, nat = 4, ntyp = 2
/
ATOMIC_SPECIES
Pa 231.04 Pa.upf
P 30.97 P.upf
ATOMIC_POSITIONS crystal
Pa 0.000 0.000 0.000
Pa 0.298 0.298 0.000
Pa 0.702 0.702 0.000
P 0.500 0.500 0.000
CELL_PARAMETERS angstrom
-1.921 1.921 6.699
1.921 -1.921 6.699
1.921 1.921 -6.699
```

# PaP2Pb

A relaxed structure of PaP2Pb (PBE, the Alexandria database). Values from VASP.

Results
Formation energy, eV per atom: -0.56

```
&SYSTEM
  ibrav = 0, nat = 4, ntyp = 3
/
ATOMIC_SPECIES
Pa 231.04 Pa.upf
P 30.97 P.upf
Pb 207.20 Pb.upf
ATOMIC_POSITIONS crystal
Pa 0.000 0.000 0.000
P 0.262 0.262 0.262
P 0.738 0.738 0.738
Pb 0.500 0.500 0.500
CELL_PARAMETERS angstrom
2.052 1.185 6.939
-2.052 1.185 6.939
0.000 -2.369 6.939
```

# Pa4P6Pd5

A relaxed structure of Pa4P6Pd5 (PBE, the Alexandria database). Values from VASP.

Results
Formation energy, eV per atom: -0.95

```
&SYSTEM
  ibrav = 0, nat = 30, ntyp = 3
/
ATOMIC_SPECIES
Pa 231.04 Pa.upf
P 30.97 P.upf
Pd 106.42 Pd.upf
ATOMIC_POSITIONS crystal
Pa 0.008 0.992 0.500
Pa 0.033 0.967 0.770
Pa 0.167 0.833 0.296
Pa 0.187 0.813 0.942
Pa 0.813 0.187 0.442
Pa 0.833 0.167 0.796
Pa 0.967 0.033 0.270
Pa 0.992 0.008 0.000
P 0.117 0.883 0.109
P 0.218 0.782 0.482
P 0.234 0.766 0.758
P 0.416 0.584 0.410
P 0.435 0.565 0.847
P 0.436 0.564 0.124
P 0.564 0.436 0.624
P 0.565 0.435 0.347
P 0.584 0.416 0.910
P 0.766 0.234 0.258
P 0.782 0.218 0.982
P 0.883 0.117 0.609
Pd 0.152 0.848 0.626
Pd 0.300 0.700 0.616
Pd 0.344 0.656 0.271
Pd 0.358 0.642 0.977
Pd 0.442 0.558 0.675
Pd 0.558 0.442 0.175
Pd 0.642 0.358 0.477
Pd 0.656 0.344 0.771
Pd 0.700 0.300 0.116
Pd 0.848 0.152 0.126
CELL_PARAMETERS angstrom
1.967 -9.656 0.000
1.967 9.656 0.000
0.000 0.000 14.479
```

Number 1: calculated density 12.17 Mg/m³. Number 2: calculated density 8.21 Mg/m³. Number 3: calculated density 9.91 Mg/m³.